Entry 1:
Entry from Alexandria via LeMat-Bulk: an optimized crystal structure of Ba2ZnNiTe (PBE-GGA).

Structure (POSCAR):
```
Ba2ZnNiTe
1.0
-5.112 0.406 2.875
1.195 -5.012 2.832
2.117 2.437 3.420
Te Ni Ba Zn
1 1 2 1
Cartesian
-0.900 -1.084 4.564
0.000 0.000 0.000
-2.556 0.203 1.438
0.598 -2.506 1.416
1.059 1.219 1.710
```

* DOS(E_F): 0.3281 states/eV per atom
* formation energy (no corrections): -0.64 eV per atom

Entry 2:
Entry from Alexandria via LeMat-Bulk: an optimized crystal structure of Pm3Er4Tm (PBE-GGA).

Structure (POSCAR):
```
Pm3Er4Tm
1.0
6.272 0.000 0.000
0.000 7.273 0.000
0.000 0.000 11.324
Er Pm Tm
8 6 2
Cartesian
4.062 6.385 8.467
3.011 0.892 5.662
3.017 0.885 0.000
4.062 6.385 2.856
6.153 6.388 5.662
0.926 0.889 8.518
6.147 6.381 0.000
0.926 0.889 2.805
4.061 2.718 8.496
3.017 4.565 0.000
0.925 4.555 8.490
6.153 2.708 5.662
0.925 4.555 2.834
4.061 2.718 2.828
6.164 2.697 0.000
3.028 4.576 5.662
```

* DOS(E_F): 1.7224 states/eV per atom
* energy above the lowest structure with this stoichiometry: 0 meV per atom

Entry 3:
Entry from Alexandria via LeMat-Bulk: an optimized crystal structure of Tm3Ga12Au (PBE-GGA).

Structure (POSCAR):
```
Tm3Ga12Au
1.0
-0.885 1.539 -3.853
-4.148 -0.411 0.789
-0.346 15.558 6.293
Tm Ga Au
3 12 1
Cartesian
-0.261 11.723 4.742
-0.173 7.779 3.147
-0.085 3.835 1.551
-2.114 1.596 1.123
-2.203 5.600 2.743
-0.748 14.526 3.638
-0.572 6.576 0.422
-2.605 4.522 0.069
-0.659 10.521 2.018
-2.291 9.546 4.339
-0.483 2.571 -1.198
-2.774 12.164 3.160
-2.380 13.551 5.959
-2.689 8.343 1.614
-2.517 0.564 -1.532
0.000 0.000 0.000
```

* DOS(E_F): 0.2879 states/eV per atom
* total energy: -3.689 eV per atom

Entry 4:
Entry from Alexandria via LeMat-Bulk: an optimized crystal structure of TaInW2 (PBE-GGA).

Structure (POSCAR):
```
TaInW2
1.0
-0.342 -2.713 0.635
2.660 -0.128 0.888
-2.686 2.300 8.380
In W Ta
1 2 1
Cartesian
-1.331 1.139 4.151
-0.010 0.008 0.030
0.505 -0.860 2.803
-0.876 0.322 7.109
```

* DOS(E_F): 0.7707 states/eV per atom
* total energy: -9.683 eV per atom

Entry 5:
Entry from Alexandria via LeMat-Bulk: an optimized crystal structure of KScTe (PBE-GGA).

Structure (POSCAR):
```
KScTe
1.0
-0.278 -1.480 5.166
3.269 -3.839 1.878
3.984 1.277 3.383
K Te Sc
1 1 1
Cartesian
5.231 -3.031 7.820
3.487 -2.021 5.213
0.000 0.000 0.000
```

* DOS(E_F): 2.1162 states/eV per atom
* formation energy (no corrections): 0.34 eV per atom
* energy above the lowest structure with this stoichiometry: 1094 meV per atom

Entry 6:
Entry from Alexandria via LeMat-Bulk: an optimized crystal structure of YTl2Hg (PBE-GGA).

Structure (POSCAR):
```
YTl2Hg
1.0
-3.503 -0.697 -0.644
1.099 -0.998 3.311
-2.322 8.565 3.353
Hg Tl Y
1 2 1
Cartesian
-2.943 5.576 3.848
-1.187 4.377 1.714
-2.296 8.471 3.316
-1.782 1.293 2.172
```

* DOS(E_F): 0.4113 states/eV per atom
* total energy: -2.923 eV per atom

Entry 7:
Entry from Alexandria via LeMat-Bulk: an optimized crystal structure of Ba12NaSr3 (PBE-GGA).

Structure (POSCAR):
```
Ba12NaSr3
1.0
6.217 0.000 0.000
0.000 6.217 0.000
0.000 0.000 25.450
Sr Ba Na
3 12 1
Cartesian
0.000 0.000 12.725
0.000 0.000 19.114
0.000 0.000 6.337
3.109 3.109 19.150
3.109 3.109 12.725
0.000 3.109 9.529
0.000 3.109 15.921
0.000 3.109 3.108
3.109 0.000 15.921
0.000 3.109 22.343
3.109 0.000 9.529
3.109 3.109 6.300
3.109 0.000 22.343
3.109 3.109 0.000
3.109 0.000 3.108
0.000 0.000 0.000
```

* DOS(E_F): 1.5720 states/eV per atom
* total energy: -1.811 eV per atom

Entry 8:
Entry from Alexandria via LeMat-Bulk: an optimized crystal structure of Mg2FePd8 (PBE-GGA).

Structure (POSCAR):
```
Mg2FePd8
1.0
4.069 0.000 -1.238
-0.995 5.757 -3.270
-0.017 0.221 7.249
Pd Mg Fe
8 2 1
Cartesian
1.768 5.048 -1.496
0.464 0.947 1.526
-0.295 1.705 -0.968
0.855 3.443 2.810
2.593 5.032 1.215
1.290 0.931 4.237
3.352 4.273 3.709
2.202 2.536 -0.069
0.106 4.110 0.349
2.951 1.869 2.392
2.035 0.000 -0.619
```

* DOS(E_F): 0.7382 states/eV per atom
* total energy: -5.113 eV per atom

Entry 9:
Entry from Alexandria via LeMat-Bulk: an optimized crystal structure of MgNb3N (PBE-GGA).

Structure (POSCAR):
```
MgNb3N
1.0
-0.174 4.295 0.412
-3.805 -0.348 2.013
2.035 -0.282 3.798
Nb Mg N
3 1 1
Cartesian
-1.902 -0.174 1.007
-0.087 2.148 0.206
1.018 -0.141 1.899
-0.972 1.833 3.112
0.000 0.000 0.000
```

* DOS(E_F): 1.5664 states/eV per atom
* formation energy (no corrections): -0.33 eV per atom
* energy above the lowest structure with this stoichiometry: 0 meV per atom

Entry 10:
Entry from Alexandria via LeMat-Bulk: an optimized crystal structure of Zr2ScPbC (PBE-GGA).

Structure (POSCAR):
```
Zr2ScPbC
1.0
4.601 0.000 0.000
0.000 4.601 0.000
0.000 0.000 4.573
Pb Zr Sc C
1 2 1 1
Cartesian
2.301 2.301 2.286
0.000 2.301 0.000
2.301 0.000 0.000
0.000 0.000 2.286
0.000 0.000 0.000
```

* DOS(E_F): 0.6020 states/eV per atom
* total energy: -7.763 eV per atom